DFT (GGA-PBE) results for a relaxed InPd6Pt2 crystal.

Cell lengths 5.521, 5.521, 13.146 Å; angles 90.00, 90.00, 90.00 degrees
Space group P4_2/mnm (No. 136)
Asymmetric unit:
In1 0.000 0.000 0.000
Pd1 0.171 0.171 0.500
Pd2 0.179 0.179 0.166
Pt1 0.000 0.000 0.329

Summary:
DFT total energy (eV per cell): -80.0
Magnetization (μB per cell): 0.0
Formation energy (kJ/mol of formula units): 576

DFT (GGA-PBE) results for a relaxed AlAgGe crystal.

Cell lengths 4.026, 4.026, 6.915 Å; angles 90.00, 90.00, 90.00 degrees
Space group P4/nmm (No. 129, origin choice 2)
Asymmetric unit:
Al1 0.250 0.750 0.000
Ag1 0.250 0.250 0.374
Ge1 0.250 0.250 0.753

Summary:
DFT total energy (eV per cell): -21.4
Magnetization (μB per cell): 0.0
Formation energy (kJ/mol of formula units): 49

DFT (GGA-PBE) results for a relaxed SrLiAu crystal.

Cell lengths 4.445, 4.445, 7.814 Å; angles 90.00, 90.00, 90.00 degrees
Space group P4/nmm (No. 129, origin choice 2)
Asymmetric unit:
Sr1 0.250 0.250 0.161
Li1 0.250 0.750 0.500
Au1 0.250 0.250 0.720

Summary:
DFT total energy (eV per cell): -17.2
Magnetization (μB per cell): 0.0
Formation energy (kJ/mol of formula units): -168